[1]
{
  "formula": "Cs2MnBrCl6",
  "functional": "PBE",
  "state": "relaxed",
  "cell": [[-4.024, 4.024, 5.182], [4.024, -4.024, 5.182], [4.024, 4.024, -5.182]],
  "species": ["Cs", "Cs", "Mn", "Br", "Cl", "Cl", "Cl", "Cl", "Cl", "Cl"],
  "frac_coords": [[0.250, 0.750, 0.500], [0.750, 0.250, 0.500], [0.000, 0.000, 0.000], [0.500, 0.500, 0.000], [0.199, 0.199, 0.399], [0.199, 0.801, 0.000], [0.266, 0.266, 0.000], [0.734, 0.734, 0.000], [0.801, 0.199, 0.000], [0.801, 0.801, 0.601]],
  "rho_g_cm3": 3.0
}



[2]
{
  "formula": "Cs2MoBr4Cl2",
  "functional": "PBE",
  "state": "relaxed",
  "cell": [[6.600, -3.791, 0.000], [6.600, 3.791, 0.000], [-0.533, 0.000, 6.542]],
  "species": ["Cs", "Cs", "Mo", "Br", "Br", "Br", "Br", "Cl", "Cl"],
  "frac_coords": [[0.162, 0.162, 0.266], [0.838, 0.838, 0.734], [0.500, 0.500, 0.500], [0.175, 0.655, 0.267], [0.345, 0.825, 0.733], [0.655, 0.175, 0.267], [0.825, 0.345, 0.733], [0.356, 0.356, 0.698], [0.644, 0.644, 0.302]],
  "rho_g_cm3": 3.8
}



[3]
{
  "formula": "CsMo3Br3Cl4",
  "functional": "PBE",
  "state": "relaxed",
  "cell": [[10.206, 0.000, 0.000], [-5.103, 8.838, 0.000], [0.000, 0.000, 16.232]],
  "species": ["Cs", "Cs", "Cs", "Cs", "Mo", "Mo", "Mo", "Mo", "Mo", "Mo", "Mo", "Mo", "Mo", "Mo", "Mo", "Mo", "Br", "Br", "Br", "Br", "Br", "Br", "Br", "Br", "Br", "Br", "Br", "Br", "Cl", "Cl", "Cl", "Cl", "Cl", "Cl", "Cl", "Cl", "Cl", "Cl", "Cl", "Cl", "Cl", "Cl", "Cl", "Cl"],
  "frac_coords": [[0.000, 0.000, 0.000], [0.000, 0.000, 0.500], [0.333, 0.667, 0.249], [0.667, 0.333, 0.749], [0.183, 0.519, 0.684], [0.184, 0.665, 0.816], [0.335, 0.518, 0.816], [0.335, 0.817, 0.684], [0.481, 0.665, 0.684], [0.482, 0.816, 0.816], [0.518, 0.335, 0.316], [0.519, 0.183, 0.184], [0.665, 0.184, 0.316], [0.665, 0.481, 0.184], [0.816, 0.482, 0.316], [0.817, 0.335, 0.184], [0.038, 0.690, 0.402], [0.039, 0.350, 0.097], [0.310, 0.348, 0.402], [0.311, 0.961, 0.097], [0.348, 0.310, 0.902], [0.350, 0.039, 0.597], [0.650, 0.689, 0.097], [0.652, 0.962, 0.402], [0.689, 0.650, 0.597], [0.690, 0.038, 0.902], [0.961, 0.311, 0.597], [0.962, 0.652, 0.902], [0.054, 0.383, 0.814], [0.054, 0.672, 0.686], [0.328, 0.382, 0.686], [0.329, 0.946, 0.814], [0.333, 0.667, 0.562], [0.333, 0.667, 0.937], [0.382, 0.328, 0.186], [0.383, 0.054, 0.314], [0.617, 0.671, 0.814], [0.618, 0.946, 0.686], [0.667, 0.333, 0.062], [0.667, 0.333, 0.437], [0.671, 0.617, 0.314], [0.672, 0.054, 0.186], [0.946, 0.329, 0.314], [0.946, 0.618, 0.186]],
  "rho_g_cm3": 3.6
}



[4]
{
  "formula": "Cs2MoBrCl6",
  "functional": "PBE",
  "state": "relaxed",
  "cell": [[0.000, 5.707, 5.707], [5.707, 0.000, 5.707], [5.707, 5.707, 0.000]],
  "species": ["Cs", "Cs", "Mo", "Br", "Cl", "Cl", "Cl", "Cl", "Cl", "Cl"],
  "frac_coords": [[0.250, 0.250, 0.250], [0.750, 0.750, 0.750], [0.000, 0.000, 0.000], [0.500, 0.500, 0.500], [0.208, 0.208, 0.792], [0.208, 0.792, 0.208], [0.208, 0.792, 0.792], [0.792, 0.208, 0.208], [0.792, 0.208, 0.792], [0.792, 0.792, 0.208]],
  "rho_g_cm3": 2.9,
  "de_polymorph_mev_per_atom": 71
}



[5]
{
  "formula": "Cs2MoBrCl6",
  "functional": "PBE",
  "state": "relaxed",
  "cell": [[6.078, 0.000, 0.000], [1.043, 7.204, 0.000], [2.987, 2.227, 8.264]],
  "species": ["Cs", "Cs", "Mo", "Br", "Cl", "Cl", "Cl", "Cl", "Cl", "Cl"],
  "frac_coords": [[0.000, 0.000, 0.000], [0.262, 0.727, 0.591], [0.118, 0.364, 0.298], [0.645, 0.896, 0.773], [0.062, 0.474, 0.035], [0.179, 0.257, 0.556], [0.367, 0.104, 0.216], [0.433, 0.559, 0.198], [0.802, 0.179, 0.391], [0.873, 0.627, 0.381]],
  "rho_g_cm3": 3.0,
  "de_polymorph_mev_per_atom": 0
}



[6]
{
  "formula": "Cs2MoBrCl5",
  "functional": "PBE",
  "state": "relaxed",
  "cell": [[-3.798, 3.798, 5.281], [3.798, -3.798, 5.281], [3.798, 3.798, -5.281]],
  "species": ["Cs", "Cs", "Mo", "Br", "Cl", "Cl", "Cl", "Cl", "Cl"],
  "frac_coords": [[0.000, 0.500, 0.500], [0.500, 0.000, 0.500], [0.250, 0.250, 0.000], [0.493, 0.493, 0.000], [0.022, 0.022, 0.000], [0.026, 0.026, 0.552], [0.026, 0.474, 0.000], [0.474, 0.026, 0.000], [0.474, 0.474, 0.448]],
  "rho_g_cm3": 3.4
}



[7]
{
  "formula": "CsNaBrCl",
  "functional": "PBE",
  "state": "relaxed",
  "cell": [[5.434, 0.000, 0.000], [0.000, 5.434, 0.000], [0.000, 0.000, 10.302]],
  "species": ["Cs", "Cs", "Na", "Na", "Br", "Br", "Cl", "Cl"],
  "frac_coords": [[0.250, 0.250, 0.183], [0.750, 0.750, 0.817], [0.250, 0.250, 0.596], [0.750, 0.750, 0.404], [0.250, 0.750, 0.500], [0.750, 0.250, 0.500], [0.250, 0.250, 0.853], [0.750, 0.750, 0.147]],
  "rho_g_cm3": 3.0
}



[8]
{
  "formula": "Cs3Na2Br3Cl2",
  "functional": "PBE",
  "state": "relaxed",
  "cell": [[-2.633, 2.633, 14.445], [2.633, -2.633, 14.445], [2.633, 2.633, -14.445]],
  "species": ["Cs", "Cs", "Cs", "Na", "Na", "Br", "Br", "Br", "Cl", "Cl"],
  "frac_coords": [[0.000, 0.000, 0.000], [0.365, 0.365, 0.000], [0.635, 0.635, 0.000], [0.222, 0.222, 0.000], [0.778, 0.778, 0.000], [0.124, 0.124, 0.000], [0.500, 0.500, 0.000], [0.876, 0.876, 0.000], [0.250, 0.750, 0.500], [0.750, 0.250, 0.500]],
  "rho_g_cm3": 3.1
}



[9]
{
  "formula": "CsNa2Br2Cl",
  "functional": "PBE",
  "state": "relaxed",
  "cell": [[7.112, 0.000, 0.000], [0.000, 6.970, 0.000], [-3.364, 0.000, 11.009]],
  "species": ["Cs", "Cs", "Na", "Na", "Na", "Na", "Br", "Br", "Br", "Br", "Cl", "Cl"],
  "frac_coords": [[0.174, 0.250, 0.428], [0.826, 0.750, 0.572], [0.362, 0.003, 0.841], [0.362, 0.497, 0.841], [0.638, 0.503, 0.159], [0.638, 0.997, 0.159], [0.053, 0.250, 0.713], [0.372, 0.750, 0.648], [0.628, 0.250, 0.352], [0.947, 0.750, 0.287], [0.374, 0.750, 0.021], [0.626, 0.250, 0.979]],
  "rho_g_cm3": 2.3
}



[10]
{
  "formula": "Cs2Na4Br3Cl2",
  "functional": "PBE",
  "state": "relaxed",
  "cell": [[-2.609, 2.609, 16.119], [2.609, -2.609, 16.119], [2.609, 2.609, -16.119]],
  "species": ["Cs", "Cs", "Na", "Na", "Na", "Na", "Br", "Br", "Br", "Cl", "Cl"],
  "frac_coords": [[0.178, 0.178, 0.000], [0.822, 0.822, 0.000], [0.063, 0.563, 0.500], [0.437, 0.937, 0.500], [0.563, 0.063, 0.500], [0.937, 0.437, 0.500], [0.378, 0.378, 0.000], [0.500, 0.500, 0.000], [0.622, 0.622, 0.000], [0.068, 0.068, 0.000], [0.932, 0.932, 0.000]],
  "rho_g_cm3": 2.5
}



[11]
{
  "formula": "Cs2NaBrCl6",
  "functional": "PBE",
  "state": "relaxed",
  "cell": [[-3.996, 3.996, 5.231], [3.996, -3.996, 5.231], [3.996, 3.996, -5.231]],
  "species": ["Cs", "Cs", "Na", "Br", "Cl", "Cl", "Cl", "Cl", "Cl", "Cl"],
  "frac_coords": [[0.250, 0.750, 0.500], [0.750, 0.250, 0.500], [0.000, 0.000, 0.000], [0.500, 0.500, 0.000], [0.242, 0.242, 0.483], [0.242, 0.758, 0.000], [0.275, 0.275, 0.000], [0.725, 0.725, 0.000], [0.758, 0.242, 0.000], [0.758, 0.758, 0.517]],
  "rho_g_cm3": 2.9
}



[12]
{
  "formula": "Cs3Na2Br2Cl3",
  "functional": "PBE",
  "state": "relaxed",
  "cell": [[-2.681, 2.681, 13.981], [2.681, -2.681, 13.981], [2.681, 2.681, -13.981]],
  "species": ["Cs", "Cs", "Cs", "Na", "Na", "Br", "Br", "Cl", "Cl", "Cl"],
  "frac_coords": [[0.000, 0.000, 0.000], [0.372, 0.372, 0.000], [0.628, 0.628, 0.000], [0.215, 0.215, 0.000], [0.785, 0.785, 0.000], [0.250, 0.750, 0.500], [0.750, 0.250, 0.500], [0.120, 0.120, 0.000], [0.500, 0.500, 0.000], [0.880, 0.880, 0.000]],
  "rho_g_cm3": 2.9
}



no.,raw formation energy (eV per atom),E (eV/atom)
1,-1.24,-3.60
2,-1.23,-3.77
3,-1.03,-5.19
4,-1.18,-3.71
5,-1.25,-3.78
6,-1.40,-4.01
7,-1.73,-3.15
8,-1.77,-3.16
9,-1.62,-3.07
10,-1.47,-2.89
11,-1.04,-2.61
12,-1.77,-3.18